1.
KRb2AcBr6: relaxed, PBE.

- size of the total moment (μB/atom) = 0.0000
- uncorrected formation energy (meV/atom) = -1885.4
- ρ (Mg/m³) = 3.54

Lattice parameters (Å, degrees): 8.302 8.778 14.206 90.00 123.88 90.00
Space group P2_1/c (No. 14)
Unique sites:
K  0.000  0.000  0.000 [2 per cell]
Rb  0.213  0.075  0.742 [4 per cell]
Ac  0.500  0.000  0.500 [2 per cell]
Br  0.148  0.189  0.440 [4 per cell]
Br  0.246  0.715  0.426 [4 per cell]
Br  0.392  0.054  0.260 [4 per cell]

2.
KAcSeBr: relaxed, PBE.

- size of the total moment (μB/atom) = 0.0000
- uncorrected formation energy (meV/atom) = -1547.3
- ρ (Mg/m³) = 5.06

Lattice parameters (Å, degrees): 4.3711 4.3711 25.2763 90.00 90.00 120.00
Space group R3m (No. 160, hexagonal axes)
Unique sites:
K  0.0000  0.0000  0.0000 [3 per cell]
Ac  0.0000  0.0000  0.8172 [3 per cell]
Se  0.0000  0.0000  0.4127 [3 per cell]
Br  0.0000  0.0000  0.2354 [3 per cell]

3.
KAcSn2Br8: relaxed, PBE.

- size of the total moment (μB/atom) = 0.0000
- uncorrected formation energy (meV/atom) = -1329.3
- ρ (Mg/m³) = 3.97

Lattice parameters (Å, degrees): 7.006 9.301 7.335 90.00 90.99 90.00
Space group P2/m (No. 10)
Unique sites:
K  0.000  0.000  0.000 [1 per cell]
Ac  0.000  0.500  0.000 [1 per cell]
Sn  0.500  0.241  0.500 [2 per cell]
Br  0.252  0.264  0.162 [4 per cell]
Br  0.255  0.500  0.663 [2 per cell]
Br  0.276  0.000  0.635 [2 per cell]

4.
KAcTeBr: relaxed, PBE.

- size of the total moment (μB/atom) = 0.0000
- uncorrected formation energy (meV/atom) = -1223.8
- ρ (Mg/m³) = 5.99

Lattice parameters (Å, degrees): 8.068 8.068 8.068 90.00 90.00 90.00
Space group F-43m (No. 216)
Unique sites:
K  0.000  0.000  0.000 [4 per cell]
Ac  0.000  0.000  0.500 [4 per cell]
Te  0.250  0.250  0.250 [4 per cell]
Br  0.250  0.250  0.750 [4 per cell]

5.
K2AcTlBr6: relaxed, PBE.

- size of the total moment (μB/atom) = 0.0000
- uncorrected formation energy (meV/atom) = -1689.9
- ρ (Mg/m³) = 4.01

Lattice parameters (Å, degrees): 8.057 8.661 14.024 90.00 123.17 90.00
Space group P2_1/c (No. 14)
Unique sites:
K  0.208  0.083  0.242 [4 per cell]
Ac  0.500  0.000  0.000 [2 per cell]
Tl  0.000  0.000  0.500 [2 per cell]
Br  0.129  0.180  0.932 [4 per cell]
Br  0.246  0.709  0.916 [4 per cell]
Br  0.411  0.068  0.763 [4 per cell]

6.
KAcTl2Br6: relaxed, PBE.

- size of the total moment (μB/atom) = 0.0000
- uncorrected formation energy (meV/atom) = -1513.6
- ρ (Mg/m³) = 4.69

Lattice parameters (Å, degrees): 8.030 8.753 13.801 90.00 122.51 90.00
Space group P2_1/c (No. 14)
Unique sites:
K  0.000  0.000  0.000 [2 per cell]
Ac  0.500  0.000  0.500 [2 per cell]
Tl  0.202  0.073  0.724 [4 per cell]
Br  0.137  0.172  0.456 [4 per cell]
Br  0.237  0.716  0.409 [4 per cell]
Br  0.404  0.074  0.260 [4 per cell]

7.
AcLaBr6: relaxed, PBE.

- size of the total moment (μB/atom) = 0.0000
- uncorrected formation energy (meV/atom) = -1963.2
- ρ (Mg/m³) = 4.26

Lattice parameters (Å, degrees): 7.4139 7.4139 20.7542 90.00 90.00 120.00
Space group R-3 (No. 148, hexagonal axes)
Unique sites:
Ac  0.0000  0.0000  0.0000 [3 per cell]
La  0.0000  0.0000  0.5000 [3 per cell]
Br  0.0004  0.3264  0.4179 [18 per cell]

8.
AcLaBr: relaxed, PBE.

- size of the total moment (μB/atom) = 0.1898
- uncorrected formation energy (meV/atom) = -759.7
- ρ (Mg/m³) = 6.58

Lattice parameters (Å, degrees): 4.0124 4.0124 8.0669 90.00 90.00 120.00
Space group P3m1 (No. 156)
Unique sites:
Ac  0.0000  0.0000  0.0000 [1 per cell]
La  0.3333  0.6667  0.6213 [1 per cell]
Br  0.6667  0.3333  0.3326 [1 per cell]

9.
AcLa3Br: relaxed, PBE.

- size of the total moment (μB/atom) = 0.0000
- uncorrected formation energy (meV/atom) = -402.0
- ρ (Mg/m³) = 6.13

Lattice parameters (Å, degrees): 5.809 5.809 5.809 90.00 90.00 90.00
Space group Pm-3m (No. 221)
Unique sites:
Ac  0.000  0.000  0.000 [1 per cell]
La  0.000  0.500  0.500 [3 per cell]
Br  0.500  0.500  0.500 [1 per cell]

10.
AcLaBrN: relaxed, PBE.

- size of the total moment (μB/atom) = 0.0000
- uncorrected formation energy (meV/atom) = -1345.6
- ρ (Mg/m³) = 7.57

Lattice parameters (Å, degrees): 3.841 3.853 8.165 103.61 90.05 119.78
Space group P1 (No. 1)
Unique sites:
Ac  0.000  0.000  0.000 [1 per cell]
La  0.789  0.577  0.364 [1 per cell]
Br  0.223  0.444  0.668 [1 per cell]
N  0.402  0.804  0.204 [1 per cell]

11.
Ac2LaBrO4: relaxed, PBE.

- size of the total moment (μB/atom) = 0.0000
- uncorrected formation energy (meV/atom) = -3197.8
- ρ (Mg/m³) = 7.04

Lattice parameters (Å, degrees): 4.198 4.198 9.861 90.00 90.00 90.00
Space group P4/mmm (No. 123)
Unique sites:
Ac  0.000  0.000  0.238 [2 per cell]
La  0.500  0.500  0.500 [1 per cell]
Br  0.500  0.500  0.000 [1 per cell]
O  0.000  0.500  0.350 [4 per cell]

12.
AcLaPbBr: relaxed, PBE.

- size of the total moment (μB/atom) = 0.0001
- uncorrected formation energy (meV/atom) = -896.7
- ρ (Mg/m³) = 8.42

Lattice parameters (Å, degrees): 8.015 8.015 8.015 90.00 90.00 90.00
Space group F-43m (No. 216)
Unique sites:
Ac  0.000  0.000  0.000 [4 per cell]
La  0.000  0.000  0.500 [4 per cell]
Pb  0.250  0.250  0.250 [4 per cell]
Br  0.250  0.250  0.750 [4 per cell]

What did the second record say?
KAcSeBr: relaxed, PBE.

- size of the total moment (μB/atom) = 0.0000
- uncorrected formation energy (meV/atom) = -1547.3
- ρ (Mg/m³) = 5.06

Lattice parameters (Å, degrees): 4.3711 4.3711 25.2763 90.00 90.00 120.00
Space group R3m (No. 160, hexagonal axes)
Unique sites:
K  0.0000  0.0000  0.0000 [3 per cell]
Ac  0.0000  0.0000  0.8172 [3 per cell]
Se  0.0000  0.0000  0.4127 [3 per cell]
Br  0.0000  0.0000  0.2354 [3 per cell]

> Which value of uncorrected formation energy does entry 6 give?

-1513.6 meV/atom

> Which of these has the highest size of the total moment?

AcLaBr

> What is the ρ in the eighth record?

6.58 Mg/m³